(P)
# Ti6Nb2Bi | Alexandria | PBE | optimized geometry
data_Ti6Nb2Bi
_chemical_formula_sum 'Ti12 Nb4 Bi2'
_symmetry_space_group_name_H-M 'P 1'
_symmetry_Int_Tables_number 1
_cell_length_a 7.215
_cell_length_b 4.653
_cell_length_c 10.010
_cell_angle_alpha 90.00
_cell_angle_beta 102.79
_cell_angle_gamma 90.00
loop_
_symmetry_equiv_pos_as_xyz
'x,y,z'
loop_
_atom_site_label
_atom_site_type_symbol
_atom_site_fract_x
_atom_site_fract_y
_atom_site_fract_z
Ti1 Ti 0.001 0.250 0.065
Ti2 Ti 0.010 0.750 0.240
Ti3 Ti 0.018 0.250 0.428
Ti4 Ti 0.305 0.750 0.457
Ti5 Ti 0.334 0.250 0.979
Ti6 Ti 0.349 0.250 0.618
Ti7 Ti 0.651 0.750 0.382
Ti8 Ti 0.666 0.750 0.021
Ti9 Ti 0.695 0.250 0.543
Ti10 Ti 0.982 0.750 0.572
Ti11 Ti 0.990 0.250 0.760
Ti12 Ti 0.999 0.750 0.935
Nb1 Nb 0.320 0.250 0.302
Nb2 Nb 0.336 0.750 0.144
Nb3 Nb 0.664 0.250 0.856
Nb4 Nb 0.680 0.750 0.698
Bi1 Bi 0.321 0.750 0.799
Bi2 Bi 0.679 0.250 0.201
# V   327.7 Å³/cell
# Fermi-level density of states   22.0 states/eV/cell

(Q)
# Ti6Nb2Bi | Alexandria | PBE | optimized geometry
data_Ti6Nb2Bi
_chemical_formula_sum 'Ti12 Nb4 Bi2'
_symmetry_space_group_name_H-M 'P 1'
_symmetry_Int_Tables_number 1
_cell_length_a 7.745
_cell_length_b 7.745
_cell_length_c 7.745
_cell_angle_alpha 115.15
_cell_angle_beta 112.02
_cell_angle_gamma 101.54
loop_
_symmetry_equiv_pos_as_xyz
'x,y,z'
loop_
_atom_site_label
_atom_site_type_symbol
_atom_site_fract_x
_atom_site_fract_y
_atom_site_fract_z
Ti1 Ti 0.043 0.248 0.795
Ti2 Ti 0.156 0.448 0.292
Ti3 Ti 0.156 0.864 0.708
Ti4 Ti 0.304 0.199 0.503
Ti5 Ti 0.304 0.801 0.105
Ti6 Ti 0.453 0.248 0.205
Ti7 Ti 0.547 0.752 0.795
Ti8 Ti 0.696 0.199 0.895
Ti9 Ti 0.696 0.801 0.497
Ti10 Ti 0.844 0.136 0.292
Ti11 Ti 0.844 0.552 0.708
Ti12 Ti 0.957 0.752 0.205
Nb1 Nb 0.168 0.500 0.668
Nb2 Nb 0.357 0.857 0.500
Nb3 Nb 0.643 0.143 0.500
Nb4 Nb 0.832 0.500 0.332
Bi1 Bi 0.000 0.000 0.000
Bi2 Bi 0.500 0.500 0.000
# V   352.2 Å³/cell
# Fermi-level density of states   24.6 states/eV/cell

Relative energies, eV/atom: (P) 0.000; (Q) 0.258.

(P)
# Nd3Bi | Alexandria | PBE | optimized geometry
data_Nd3Bi
_chemical_formula_sum 'Nd3 Bi1'
_symmetry_space_group_name_H-M 'P 1'
_symmetry_Int_Tables_number 1
_cell_length_a 8.914
_cell_length_b 8.914
_cell_length_c 8.914
_cell_angle_alpha 151.45
_cell_angle_beta 151.45
_cell_angle_gamma 40.82
loop_
_symmetry_equiv_pos_as_xyz
'x,y,z'
loop_
_atom_site_label
_atom_site_type_symbol
_atom_site_fract_x
_atom_site_fract_y
_atom_site_fract_z
Nd1 Nd 0.000 0.000 0.000
Nd2 Nd 0.311 0.311 0.000
Nd3 Nd 0.689 0.689 0.000
Bi1 Bi 0.500 0.500 0.000
# V   161.5 Å³/cell
# Fermi-level density of states   6.9 states/eV/cell

(Q)
# Nd3Bi | Alexandria | PBE | optimized geometry
data_Nd3Bi
_chemical_formula_sum 'Nd3 Bi1'
_symmetry_space_group_name_H-M 'P 1'
_symmetry_Int_Tables_number 1
_cell_length_a 6.627
_cell_length_b 6.627
_cell_length_c 6.627
_cell_angle_alpha 143.97
_cell_angle_beta 63.88
_cell_angle_gamma 129.17
loop_
_symmetry_equiv_pos_as_xyz
'x,y,z'
loop_
_atom_site_label
_atom_site_type_symbol
_atom_site_fract_x
_atom_site_fract_y
_atom_site_fract_z
Nd1 Nd 0.000 0.000 0.000
Nd2 Nd 0.165 0.389 0.776
Nd3 Nd 0.613 0.389 0.224
Bi1 Bi 0.532 0.032 0.500
# V   131.1 Å³/cell
# Fermi-level density of states   3.6 states/eV/cell

Relative energies, eV/atom: (P) 0.272; (Q) 0.000.

(P)
# Nd3Bi2 | Alexandria | PBE | optimized geometry
data_Nd3Bi2
_chemical_formula_sum 'Nd12 Bi8'
_symmetry_space_group_name_H-M 'P 1'
_symmetry_Int_Tables_number 1
_cell_length_a 9.741
_cell_length_b 8.321
_cell_length_c 8.397
_cell_angle_alpha 90.00
_cell_angle_beta 90.00
_cell_angle_gamma 90.00
loop_
_symmetry_equiv_pos_as_xyz
'x,y,z'
loop_
_atom_site_label
_atom_site_type_symbol
_atom_site_fract_x
_atom_site_fract_y
_atom_site_fract_z
Nd1 Nd 0.000 0.130 0.250
Nd2 Nd 0.000 0.870 0.750
Nd3 Nd 0.155 0.486 0.621
Nd4 Nd 0.155 0.514 0.121
Nd5 Nd 0.345 0.014 0.121
Nd6 Nd 0.345 0.986 0.621
Nd7 Nd 0.500 0.370 0.750
Nd8 Nd 0.500 0.630 0.250
Nd9 Nd 0.655 0.014 0.379
Nd10 Nd 0.655 0.986 0.879
Nd11 Nd 0.845 0.486 0.879
Nd12 Nd 0.845 0.514 0.379
Bi1 Bi 0.149 0.207 0.886
Bi2 Bi 0.149 0.793 0.386
Bi3 Bi 0.351 0.293 0.386
Bi4 Bi 0.351 0.707 0.886
Bi5 Bi 0.649 0.293 0.114
Bi6 Bi 0.649 0.707 0.614
Bi7 Bi 0.851 0.207 0.614
Bi8 Bi 0.851 0.793 0.114
# V   680.7 Å³/cell
# Fermi-level density of states   23.3 states/eV/cell

(Q)
# Nd3Bi2 | Alexandria | PBE | optimized geometry
data_Nd3Bi2
_chemical_formula_sum 'Nd6 Bi4'
_symmetry_space_group_name_H-M 'P 1'
_symmetry_Int_Tables_number 1
_cell_length_a 9.327
_cell_length_b 9.327
_cell_length_c 9.327
_cell_angle_alpha 140.26
_cell_angle_beta 140.26
_cell_angle_gamma 57.46
loop_
_symmetry_equiv_pos_as_xyz
'x,y,z'
loop_
_atom_site_label
_atom_site_type_symbol
_atom_site_fract_x
_atom_site_fract_y
_atom_site_fract_z
Nd1 Nd 0.000 0.000 0.000
Nd2 Nd 0.000 0.000 0.500
Nd3 Nd 0.000 0.500 0.000
Nd4 Nd 0.375 0.625 0.750
Nd5 Nd 0.500 0.000 0.500
Nd6 Nd 0.625 0.375 0.250
Bi1 Bi 0.177 0.427 0.750
Bi2 Bi 0.427 0.177 0.250
Bi3 Bi 0.573 0.823 0.750
Bi4 Bi 0.823 0.573 0.250
# V   328.8 Å³/cell
# Fermi-level density of states   9.7 states/eV/cell

Relative energies, eV/atom: (P) 0.048; (Q) 0.000.

(P)
# NdBi4 | Alexandria | PBE | optimized geometry
data_NdBi4
_chemical_formula_sum 'Nd1 Bi4'
_symmetry_space_group_name_H-M 'P 1'
_symmetry_Int_Tables_number 1
_cell_length_a 6.023
_cell_length_b 6.023
_cell_length_c 6.023
_cell_angle_alpha 90.00
_cell_angle_beta 90.00
_cell_angle_gamma 90.00
loop_
_symmetry_equiv_pos_as_xyz
'x,y,z'
loop_
_atom_site_label
_atom_site_type_symbol
_atom_site_fract_x
_atom_site_fract_y
_atom_site_fract_z
Nd1 Nd 0.000 0.000 0.000
Bi1 Bi 0.000 0.000 0.500
Bi2 Bi 0.000 0.500 0.000
Bi3 Bi 0.500 0.000 0.000
Bi4 Bi 0.500 0.500 0.500
# V   218.5 Å³/cell
# Fermi-level density of states   5.9 states/eV/cell

(Q)
# NdBi4 | Alexandria | PBE | optimized geometry
data_NdBi4
_chemical_formula_sum 'Nd2 Bi8'
_symmetry_space_group_name_H-M 'P 1'
_symmetry_Int_Tables_number 1
_cell_length_a 4.414
_cell_length_b 7.316
_cell_length_c 10.833
_cell_angle_alpha 90.00
_cell_angle_beta 90.06
_cell_angle_gamma 90.00
loop_
_symmetry_equiv_pos_as_xyz
'x,y,z'
loop_
_atom_site_label
_atom_site_type_symbol
_atom_site_fract_x
_atom_site_fract_y
_atom_site_fract_z
Nd1 Nd 0.000 0.000 0.000
Nd2 Nd 0.000 0.500 0.500
Bi1 Bi 0.003 0.162 0.285
Bi2 Bi 0.003 0.338 0.785
Bi3 Bi 0.499 0.682 0.902
Bi4 Bi 0.499 0.818 0.402
Bi5 Bi 0.501 0.182 0.598
Bi6 Bi 0.501 0.318 0.098
Bi7 Bi 0.997 0.662 0.215
Bi8 Bi 0.997 0.838 0.715
# V   349.8 Å³/cell
# Fermi-level density of states   4.7 states/eV/cell

Relative energies, eV/atom: (P) 0.769; (Q) 0.000.